{"formula": "La3Pm3TlGa2", "functional": "PBE-GGA", "state": "relaxed", "rho_g_cm3": 7.23, "energy_ev_per_atom": -4.49, "sg": "P-62m", "lattice": [[8.3493, 0.0000, 0.0000], [-4.1746, 7.2307, 0.0000], [0.0000, 0.0000, 4.5462]], "species": ["La", "La", "La", "Pm", "Pm", "Pm", "Tl", "Ga", "Ga"], "frac_coords": [[0.0000, 0.7181, 0.0000], [0.2819, 0.2819, 0.0000], [0.7181, 0.0000, 0.0000], [0.0000, 0.4119, 0.5000], [0.4119, 0.0000, 0.5000], [0.5881, 0.5881, 0.5000], [0.0000, 0.0000, 0.5000], [0.3333, 0.6667, 0.0000], [0.6667, 0.3333, 0.0000]]}